*a*
A plane-wave DFT calculation with PBE-GGA was carried out for a geometry-optimized La2Tb7Er structure.

Values from the calculation:
D(E_F)	17.38	states/eV/f.u.
density	7.7	g/cm3
spin magnetization	0.0	μB/f.u.
space group	Cmmm (65)

a b c (Å): 3.5082 14.8906 14.8907
angles (deg): 154.38 90.00 90.00
Last column: nearest neighbours and their distance in Å.
Sites, in units of the cell vectors:
La  0.5000  0.7055  0.2945  2 La 3.51, 8 Tb 3.58-3.79
La  0.5000  0.2945  0.7055  2 La 3.51, 8 Tb 3.58-3.79
Er  0.0000  0.0000  0.0000  2 Er 3.51, 12 Tb 3.68-3.74
Tb  0.5000  0.8524  0.6591  7 Tb 3.23-3.51, 1 La 3.58
Tb  0.0000  0.8159  0.1841  6 Tb 3.48-3.51, 6 La 3.65-3.79
Tb  0.5000  0.5000  0.5000  6 Tb 3.28-3.51
Tb  0.0000  0.1841  0.8159  6 Tb 3.48-3.51, 6 La 3.65-3.79
Tb  0.5000  0.3409  0.1476  7 Tb 3.23-3.51, 1 La 3.58
Tb  0.5000  0.1476  0.3409  7 Tb 3.23-3.51, 1 La 3.58
Tb  0.5000  0.6591  0.8524  7 Tb 3.23-3.51, 1 La 3.58

*b*
A plane-wave DFT calculation with PBE-GGA was carried out for a geometry-optimized La2Tb7Er structure.

Values from the calculation:
D(E_F)	13.81	states/eV/f.u.
density	7.9	g/cm3
spin magnetization	0.0	μB/f.u.
space group	P-1 (2)

a b c (Å): 6.2253 10.7633 11.3548
angles (deg): 137.45 57.04 140.18
Last column: nearest neighbours and their distance in Å.
Sites, in units of the cell vectors:
Tb  0.7023  0.2972  0.1964  7 Tb 3.55-3.63, 2 Er 3.57-3.60, 3 La 3.60-3.63
Tb  0.2977  0.7028  0.8036  7 Tb 3.55-3.63, 2 Er 3.57-3.60, 3 La 3.60-3.63
Tb  0.7959  0.2021  0.8036  9 Tb 3.55-3.63, 1 Er 3.58, 2 La 3.62-3.63
Tb  0.8996  0.0981  0.3975  7 Tb 3.58-3.63, 1 Er 3.58, 4 La 3.59-3.61
Tb  0.5000  0.5000  0.0000  8 Tb 3.57-3.60, 2 La 3.58, 2 Er 3.59
Tb  0.1004  0.9019  0.6025  7 Tb 3.58-3.63, 1 Er 3.58, 4 La 3.59-3.61
Tb  0.2041  0.7979  0.1964  9 Tb 3.55-3.63, 1 Er 3.58, 2 La 3.62-3.63
La  0.5980  0.4011  0.6019  10 Tb 3.58-3.63, 1 Er 3.58, 1 La 3.64
La  0.4020  0.5989  0.3981  10 Tb 3.58-3.63, 1 Er 3.58, 1 La 3.64
Er  0.0000  0.0000  0.0000  10 Tb 3.57-3.60, 2 La 3.58

Most stable structure - *b*; separation to the second - 133 meV/atom.

*a*
A plane-wave DFT calculation with PBE-GGA was carried out for a geometry-optimized La4Tb5Er2 structure.

Values from the calculation:
D(E_F)	15.73	states/eV/f.u.
density	7.5	g/cm3
spin magnetization	0.0	μB/f.u.
space group	C2/m (12)

a b c (Å): 3.6860 9.2928 12.2309
angles (deg): 65.01 98.68 90.00
Last column: nearest neighbours and their distance in Å.
Sites, in units of the cell vectors:
La  0.8259  0.9729  0.6510  3 Tb 3.47-3.67, 3 La 3.50-3.69, 2 Er 3.84
La  0.9805  0.7111  0.9617  3 Tb 3.45-3.53, 4 La 3.50-3.69, 4 Er 3.52-3.62
La  0.1741  0.0271  0.3490  3 Tb 3.47-3.67, 3 La 3.50-3.69, 2 Er 3.84
La  0.0195  0.2889  0.0383  3 Tb 3.45-3.53, 4 La 3.50-3.69, 4 Er 3.52-3.62
Er  0.3898  0.5719  0.7793  4 Tb 3.46-3.48, 6 La 3.52-3.84, 2 Er 3.69
Er  0.6102  0.4281  0.2207  4 Tb 3.46-3.48, 6 La 3.52-3.84, 2 Er 3.69
Tb  0.8760  0.2705  0.7523  2 La 3.47-3.53, 2 Er 3.48, 7 Tb 3.49-3.69
Tb  0.2416  0.3454  0.4835  2 Er 3.46, 7 Tb 3.49-3.69, 2 La 3.67
Tb  0.5000  0.0000  0.0000  4 La 3.45, 6 Tb 3.50-3.69
Tb  0.7584  0.6546  0.5165  2 Er 3.46, 7 Tb 3.49-3.69, 2 La 3.67
Tb  0.1240  0.7295  0.2477  2 La 3.47-3.53, 2 Er 3.48, 7 Tb 3.49-3.69

*b*
A plane-wave DFT calculation with PBE-GGA was carried out for a geometry-optimized La4Tb5Er2 structure.

Values from the calculation:
D(E_F)	16.08	states/eV/f.u.
density	7.4	g/cm3
spin magnetization	0.0	μB/f.u.
space group	Immm (71)

a b c (Å): 3.5159 9.3701 12.5049
angles (deg): 112.00 98.08 90.00
Last column: nearest neighbours and their distance in Å.
Sites, in units of the cell vectors:
La  0.4063  0.4063  0.8127  1 Er 3.09, 4 La 3.41
La  0.0000  0.2883  0.0000  4 Tb 3.22-3.55, 6 La 3.41-3.52
La  0.5937  0.5937  0.1873  1 Er 3.09, 4 La 3.41
La  0.0000  0.7117  0.0000  4 Tb 3.22-3.55, 6 La 3.41-3.52
Tb  0.1505  0.3502  0.3010  1 Er 3.35, 3 Tb 3.52-3.74, 3 La 3.55-3.56
Tb  0.8495  0.6498  0.6990  1 Er 3.35, 3 Tb 3.52-3.74, 3 La 3.55-3.56
Tb  0.8495  0.0493  0.6990  1 Er 3.35, 3 Tb 3.52-3.74, 3 La 3.55-3.56
Tb  0.1505  0.9507  0.3010  1 Er 3.35, 3 Tb 3.52-3.74, 3 La 3.55-3.56
Tb  0.5000  0.0000  0.0000  4 La 3.22, 2 Tb 3.52
Er  0.2715  0.2715  0.5431  1 La 3.09, 2 Tb 3.35
Er  0.7285  0.7285  0.4569  1 La 3.09, 2 Tb 3.35

Most stable structure - *a*; separation to the second - 220 meV/atom.

*a*
A plane-wave DFT calculation with PBE-GGA was carried out for a geometry-optimized La7Tb2Er structure.

Values from the calculation:
D(E_F)	17.98	states/eV/f.u.
density	5.7	g/cm3
spin magnetization	0.0	μB/f.u.
space group	Cmmm (65)

a b c (Å): 5.7313 9.4203 9.4204
angles (deg): 124.10 90.00 90.00
Last column: nearest neighbours and their distance in Å.
Sites, in units of the cell vectors:
La  0.5000  0.7063  0.9306  2 La 3.21-3.38, 2 Tb 3.22-3.43
La  0.5000  0.2937  0.0694  2 La 3.21-3.38, 2 Tb 3.22-3.43
La  0.0000  0.7714  0.2285  2 Tb 3.07
La  0.5000  0.0694  0.2937  2 La 3.21-3.38, 2 Tb 3.22-3.43
La  0.0000  0.2286  0.7715  2 Tb 3.07
La  0.5000  0.5000  0.5000  4 La 3.38, 2 Tb 3.43
La  0.5000  0.9306  0.7063  2 La 3.21-3.38, 2 Tb 3.22-3.43
Tb  0.5000  0.2940  0.7060  7 La 3.07-3.43
Tb  0.5000  0.7060  0.2940  7 La 3.07-3.43
Er  0.0000  0.0000  0.0000  10 La 3.78-3.80

*b*
A plane-wave DFT calculation with PBE-GGA was carried out for a geometry-optimized La7Tb2Er structure.

Values from the calculation:
D(E_F)	16.73	states/eV/f.u.
density	6.5	g/cm3
spin magnetization	0.0	μB/f.u.
space group	Cmmm (65)

a b c (Å): 3.5505 10.4910 10.4910
angles (deg): 108.89 90.00 90.00
Last column: nearest neighbours and their distance in Å.
Sites, in units of the cell vectors:
Tb  0.5000  0.1647  0.8353  4 La 3.17-3.18, 2 Er 3.33
Tb  0.5000  0.8353  0.1647  4 La 3.17-3.18, 2 Er 3.33
La  0.5000  0.6164  0.8744  1 Tb 3.17
La  0.0000  0.6809  0.3191  2 Tb 3.18, 2 La 3.55
La  0.0000  0.3191  0.6809  2 Tb 3.18, 2 La 3.55
La  0.5000  0.5000  0.5000  10 La 3.55-3.72
La  0.5000  0.3836  0.1256  1 Tb 3.17
La  0.5000  0.1256  0.3836  1 Tb 3.17
La  0.5000  0.8744  0.6164  1 Tb 3.17
Er  0.0000  0.0000  0.0000  4 Tb 3.33, 2 Er 3.55

Most stable structure - *b*; separation to the second - 262 meV/atom.

*a*
A plane-wave DFT calculation with PBE-GGA was carried out for a geometry-optimized La2Tb8Er structure.

Values from the calculation:
D(E_F)	16.91	states/eV/f.u.
density	7.6	g/cm3
spin magnetization	0.0	μB/f.u.
space group	C2/m (12)

a b c (Å): 5.6554 10.0838 10.0838
angles (deg): 41.06 92.42 92.42
Last column: nearest neighbours and their distance in Å.
Sites, in units of the cell vectors:
La  0.2570  0.7164  0.7164  7 Tb 3.24-3.60
La  0.7430  0.2836  0.2836  7 Tb 3.24-3.60
Tb  0.2360  0.5445  0.5445  1 Tb 3.09, 1 La 3.24
Tb  0.7679  0.8176  0.8176  4 La 3.39-3.60, 4 Tb 3.50-3.61, 1 Er 3.63
Tb  0.2321  0.1824  0.1824  4 La 3.39-3.60, 4 Tb 3.50-3.61, 1 Er 3.63
Tb  0.7640  0.4555  0.4555  1 Tb 3.09, 1 La 3.24
Tb  0.2640  0.6062  0.1398  6 Tb 3.30-3.68, 1 Er 3.44, 2 La 3.51-3.65
Tb  0.7360  0.3938  0.8602  6 Tb 3.30-3.68, 1 Er 3.44, 2 La 3.51-3.65
Tb  0.7360  0.8602  0.3938  6 Tb 3.30-3.68, 1 Er 3.44, 2 La 3.51-3.65
Tb  0.2640  0.1398  0.6062  6 Tb 3.30-3.68, 1 Er 3.44, 2 La 3.51-3.65
Er  0.0000  0.0000  0.0000  6 Tb 3.44-3.63

*b*
A plane-wave DFT calculation with PBE-GGA was carried out for a geometry-optimized La2Tb8Er structure.

Values from the calculation:
D(E_F)	17.04	states/eV/f.u.
density	7.9	g/cm3
spin magnetization	0.0	μB/f.u.
space group	C2/m (12)

a b c (Å): 5.0843 8.0347 9.5030
angles (deg): 104.76 105.52 90.00
Last column: nearest neighbours and their distance in Å.
Sites, in units of the cell vectors:
Tb  0.0437  0.7282  0.0873  9 Tb 3.54-3.61, 2 Er 3.58, 1 La 3.62
Tb  0.6804  0.9070  0.3608  1 Er 3.57, 8 Tb 3.58-3.63, 3 La 3.59-3.61
Tb  0.1342  0.1752  0.2685  7 Tb 3.54-3.63, 2 Er 3.56, 3 La 3.63-3.65
Tb  0.3196  0.0930  0.6392  1 Er 3.57, 8 Tb 3.58-3.63, 3 La 3.59-3.61
Tb  0.8658  0.8248  0.7315  7 Tb 3.54-3.63, 2 Er 3.56, 3 La 3.63-3.65
Tb  0.9563  0.2718  0.9127  9 Tb 3.54-3.61, 2 Er 3.58, 1 La 3.62
Tb  0.4111  0.5479  0.8221  8 Tb 3.54-3.62, 1 Er 3.57, 3 La 3.61-3.63
Tb  0.5889  0.4521  0.1779  8 Tb 3.54-3.62, 1 Er 3.57, 3 La 3.61-3.63
La  0.2269  0.6372  0.4537  10 Tb 3.59-3.65, 2 La 3.61
La  0.7731  0.3628  0.5463  10 Tb 3.59-3.65, 2 La 3.61
Er  0.5000  0.0000  0.0000  12 Tb 3.56-3.58

Most stable structure - *b*; separation to the second - 154 meV/atom.